Record 1
VASP calculation (PBE) on an optimized crystal structure of MgVPd2.

Results
Its total energy is -5.682 eV/atom.

Geometry as extended XYZ:
```
4
Lattice="2.8438 0.0000 0.0000 0.0000 2.8438 0.0000 0.0000 0.0000 7.4782" Properties=species:S:1:pos:R:3 pbc="T T T"
Mg 0.0000 0.0000 0.0000
V 0.0000 0.0000 3.7391
Pd 1.4219 1.4219 1.9379
Pd 1.4219 1.4219 5.5403
```


Record 2
VASP calculation (PBE) on an optimized crystal structure of Mg2VPd9.

Results
Its total energy is -5.334 eV/atom.

Geometry as extended XYZ:
```
12
Lattice="3.9277 0.0000 0.0000 0.0000 3.9277 0.0000 0.0000 0.0000 11.8978" Properties=species:S:1:pos:R:3 pbc="T T T"
Mg 0.0000 0.0000 1.9809
Mg 0.0000 0.0000 9.9169
V 0.0000 0.0000 5.9489
Pd 0.0000 1.9639 0.0000
Pd 0.0000 1.9639 4.0729
Pd 0.0000 1.9639 7.8249
Pd 1.9639 0.0000 0.0000
Pd 1.9639 0.0000 4.0729
Pd 1.9639 0.0000 7.8249
Pd 1.9639 1.9639 2.0452
Pd 1.9639 1.9639 5.9489
Pd 1.9639 1.9639 9.8526
```


Record 3
VASP calculation (PBE) on an optimized crystal structure of MgVPd5.

Results
Its total energy is -5.484 eV/atom.

Geometry as extended XYZ:
```
7
Lattice="3.9807 0.0000 0.0000 0.0000 3.9807 0.0000 0.0000 0.0000 7.1505" Properties=species:S:1:pos:R:3 pbc="T T T"
Mg 0.0000 0.0000 0.0000
V 1.9904 1.9904 3.5753
Pd 0.0000 1.9904 2.0405
Pd 0.0000 1.9904 5.1100
Pd 1.9904 0.0000 2.0405
Pd 1.9904 0.0000 5.1100
Pd 1.9904 1.9904 0.0000
```


Record 4
VASP calculation (PBE) on an optimized crystal structure of MgVPd14.

Results
Its total energy is -5.406 eV/atom.

Geometry as extended XYZ:
```
16
Lattice="5.5921 0.0000 0.0000 0.0000 5.5921 0.0000 0.0000 0.0000 7.8032" Properties=species:S:1:pos:R:3 pbc="T T T"
Mg 0.0000 0.0000 0.0000
V 2.7961 2.7961 0.0000
Pd 0.0000 0.0000 3.9016
Pd 0.0000 2.7961 0.0000
Pd 0.0000 2.7961 3.9016
Pd 1.4186 1.4186 1.9022
Pd 1.4186 1.4186 5.9011
Pd 1.4186 4.1735 1.9022
Pd 1.4186 4.1735 5.9011
Pd 2.7961 0.0000 0.0000
Pd 2.7961 0.0000 3.9016
Pd 2.7961 2.7961 3.9016
Pd 4.1735 1.4186 1.9022
Pd 4.1735 1.4186 5.9011
Pd 4.1735 4.1735 1.9022
Pd 4.1735 4.1735 5.9011
```


Record 5
VASP calculation (PBE) on an optimized crystal structure of YMg2VPd.

Results
Its total energy is -3.259 eV/atom.

Geometry as extended XYZ:
```
5
Lattice="5.4576 0.0000 0.0000 0.0000 5.4576 0.0000 0.0000 0.0000 4.5509" Properties=species:S:1:pos:R:3 pbc="T T T"
Y 0.0000 0.0000 0.0000
Mg 0.0000 2.7288 0.0000
Mg 2.7288 0.0000 0.0000
V 0.0000 0.0000 2.2754
Pd 2.7288 2.7288 2.2754
```


Record 6
VASP calculation (PBE) on an optimized crystal structure of MgPdW.

Results
The relative energy among the computed polymorphs is 0.0942 eV/atom.

Geometry as extended XYZ:
```
12
Lattice="7.9579 0.0000 0.0000 0.0000 3.1301 0.0000 0.0000 0.0000 8.4398" Properties=species:S:1:pos:R:3 pbc="T T T"
Mg 0.5003 0.7825 1.3625
Mg 3.4786 2.3475 5.5824
Mg 4.4793 0.7825 2.8574
Mg 7.4576 2.3475 7.0773
Pd 1.8128 0.7825 7.1982
Pd 2.1662 2.3475 2.9783
Pd 5.7918 0.7825 5.4615
Pd 6.1451 2.3475 1.2416
W 0.8236 0.7825 4.7117
W 3.1554 2.3475 0.4918
W 4.8026 0.7825 7.9479
W 7.1343 2.3475 3.7280
```


Record 7
VASP calculation (PBE) on an optimized crystal structure of MgPdW.

Results
The relative energy among the computed polymorphs is 0.1306 eV/atom.

Geometry as extended XYZ:
```
6
Lattice="5.5606 -1.5755 0.0000 5.5606 1.5755 0.0000 -1.8269 0.0000 5.7574" Properties=species:S:1:pos:R:3 pbc="T T T"
Mg 0.0000 0.0000 0.0000
Mg -0.9135 0.0000 2.8787
Pd 2.5887 0.0000 3.8234
Pd 6.7055 0.0000 1.9340
W 3.1157 0.0000 0.9050
W 6.1785 0.0000 4.8524
```


Record 8
VASP calculation (PBE) on an optimized crystal structure of MgPdW.

Results
The relative energy among the computed polymorphs is 0.1696 eV/atom.

Geometry as extended XYZ:
```
6
Lattice="2.7822 0.0000 0.0000 0.0000 4.7665 0.0000 -0.9141 0.0000 7.4184" Properties=species:S:1:pos:R:3 pbc="T T T"
Mg 0.0000 0.0000 0.0000
Mg 0.4067 0.0000 4.6908
Pd 1.7179 0.0000 2.3792
Pd 1.8499 2.3832 4.1403
W 0.4957 2.3832 1.5933
W 0.4565 2.3832 6.5903
```


Record 9
VASP calculation (PBE) on an optimized crystal structure of MgPd2W.

Results
The relative energy among the computed polymorphs is 0.4790 eV/atom.

Geometry as extended XYZ:
```
8
Lattice="-1.9991 1.9991 8.7420 1.9991 -1.9991 8.7420 1.9991 1.9991 -8.7420" Properties=species:S:1:pos:R:3 pbc="T T T"
Mg 0.0000 0.0000 0.0000
Mg 0.0000 1.9991 4.3710
Pd 0.9996 -0.9865 6.5565
Pd 1.0127 0.9996 2.1855
Pd 0.9996 2.9856 -2.1855
Pd 0.9865 0.9996 10.9275
W 1.9991 0.0000 4.3710
W 0.0000 0.0000 8.7420
```


Record 10
VASP calculation (PBE) on an optimized crystal structure of Mg2Pd9W.

Results
Its total energy is -5.604 eV/atom.

Geometry as extended XYZ:
```
12
Lattice="3.9459 0.0000 0.0000 0.0000 3.9459 0.0000 0.0000 0.0000 11.9502" Properties=species:S:1:pos:R:3 pbc="T T T"
Mg 0.0000 0.0000 1.9490
Mg 0.0000 0.0000 10.0012
Pd 0.0000 1.9729 0.0000
Pd 0.0000 1.9729 4.0843
Pd 0.0000 1.9729 7.8660
Pd 1.9729 0.0000 0.0000
Pd 1.9729 0.0000 4.0843
Pd 1.9729 0.0000 7.8660
Pd 1.9729 1.9729 2.0510
Pd 1.9729 1.9729 5.9751
Pd 1.9729 1.9729 9.8993
W 0.0000 0.0000 5.9751
```


Record 11
VASP calculation (PBE) on an optimized crystal structure of MgPdW.

Results
The relative energy among the computed polymorphs is 0.1475 eV/atom.

Geometry as extended XYZ:
```
6
Lattice="2.7952 0.0000 0.0000 0.0000 4.5314 0.0000 -0.9409 0.0000 7.7473" Properties=species:S:1:pos:R:3 pbc="T T T"
Mg 0.0000 0.0000 0.0000
Mg 0.2100 2.2657 1.6857
Pd 1.5346 0.0000 2.4840
Pd 1.6418 2.2657 4.0766
W 0.0587 0.0000 5.0863
W 0.6042 2.2657 6.5172
```


Record 12
VASP calculation (PBE) on an optimized crystal structure of MgPdW2.

Results
The relative energy among the computed polymorphs is 0.0000 eV/atom.

Geometry as extended XYZ:
```
4
Lattice="0.0000 3.1844 3.1844 3.1844 0.0000 3.1844 3.1844 3.1844 0.0000" Properties=species:S:1:pos:R:3 pbc="T T T"
Mg 0.0000 0.0000 0.0000
Pd 3.1844 3.1844 3.1844
W 1.5922 1.5922 1.5922
W 4.7766 4.7766 4.7766
```


What N(E_F) values result from the calculations? In sequence: 0.4317 1.1868 0.5670 1.6262 0.8928 0.5596 0.2994 0.6702 1.0147 0.6835 0.5387 1.2838 states/eV per atom.